Entry 1:
This record from Alexandria via LeMat-Bulk describes a relaxed structure of ZrSb2. The functional is GGA-PBE.

```
ZrSb2
1.0
2.6884 -4.6564 0.0000
2.6884 4.6564 0.0000
0.0000 0.0000 5.8926
Sb Zr
4 2
Direct
0.3333 0.6667 0.2500
0.0000 0.0000 0.0000
0.0000 0.0000 0.5000
0.6667 0.3333 0.7500
0.3333 0.6667 0.7500
0.6667 0.3333 0.2500
```

Results
- calculated total energy (Ha/atom) = -0.214
- magnetic moment (μB/f.u.) = 0.0
- uncorrected formation energy (eV/atom) = -0.2194

=====

Entry 2:
This record from Alexandria via LeMat-Bulk describes a relaxed structure of ZrSb3. The functional is GGA-PBE.

```
ZrSb3
1.0
4.6689 0.0000 0.0000
0.0000 4.6689 0.0000
0.0000 0.0000 4.6689
Sb Zr
3 1
Direct
0.5000 0.0000 0.5000
0.0000 0.5000 0.5000
0.5000 0.5000 0.0000
0.0000 0.0000 0.0000
```

Results
- calculated total energy (Ha/atom) = -0.190
- magnetic moment (μB/f.u.) = 0.0
- uncorrected formation energy (eV/atom) = 0.0551

=====

Entry 3:
This record from Alexandria via LeMat-Bulk describes a relaxed structure of Zr3Sb2. The functional is GGA-PBE.

```
Zr3Sb2
1.0
5.8307 0.0000 0.0000
0.0000 7.8840 0.0000
-2.9153 -3.9420 5.5087
Zr Sb
6 4
Direct
0.3615 0.5042 0.7229
0.1385 0.7813 0.2771
0.6385 0.4958 0.2771
0.2500 0.0000 0.0000
0.7500 0.0000 0.0000
0.8615 0.2187 0.7229
0.6188 0.8397 0.2376
0.3812 0.1603 0.7624
0.8812 0.6021 0.7624
0.1188 0.3979 0.2376
```

Results
- calculated total energy (Ha/atom) = -0.265
- magnetic moment (μB/f.u.) = 0.0
- uncorrected formation energy (eV/atom) = -0.4345

=====

Entry 4:
This record from Alexandria via LeMat-Bulk describes a relaxed structure of Zr3Sb. The functional is GGA-PBE.

```
Zr3Sb
1.0
3.3428 0.0000 0.0000
-1.6714 2.8949 0.0000
0.0000 0.0000 9.7233
Zr Sb
3 1
Direct
0.6667 0.3333 0.2421
0.6667 0.3333 0.7579
0.0000 0.0000 0.5000
0.0000 0.0000 0.0000
```

Results
- calculated total energy (Ha/atom) = -0.281
- magnetic moment (μB/f.u.) = 0.0
- uncorrected formation energy (eV/atom) = -0.2022

=====

Entry 5:
This record from Alexandria via LeMat-Bulk describes a relaxed structure of ZrSb. The functional is GGA-PBE.

```
ZrSb
1.0
-1.2507 -2.3444 -2.8239
-1.6309 -0.1566 3.5143
-2.5687 2.6633 -1.0734
Sb Zr
1 1
Direct
0.0000 0.0000 0.0000
0.6667 0.3333 0.5000
```

Results
- calculated total energy (Ha/atom) = -0.254
- magnetic moment (μB/f.u.) = 0.7
- uncorrected formation energy (eV/atom) = -0.5736

=====

Entry 6:
This record from Alexandria via LeMat-Bulk describes a relaxed structure of Zr5Sb3. The functional is GGA-PBE.

```
Zr5Sb3
1.0
8.4237 -0.0019 0.0021
-6.4846 5.3766 0.0021
-0.9675 -2.6818 7.9188
Zr Sb
10 6
Direct
0.9241 0.7795 0.7020
0.0751 0.2205 0.2980
0.4256 0.7239 0.1450
0.2235 0.9260 0.1450
0.7757 0.0740 0.8550
0.2501 0.7505 0.5008
0.7491 0.2495 0.4992
0.5735 0.2761 0.8550
0.7201 0.5755 0.2980
0.2791 0.4245 0.7020
0.2490 0.2506 0.0000
0.7502 0.7494 0.0000
0.6637 0.8359 0.5000
0.1618 0.6622 0.8283
0.3355 0.1641 0.5000
0.8373 0.3378 0.1717
```

Results
- calculated total energy (Ha/atom) = -0.277
- magnetic moment (μB/f.u.) = 0.0
- uncorrected formation energy (eV/atom) = -0.6484

=====

Entry 7:
This record from Alexandria via LeMat-Bulk describes a relaxed structure of ZrSb2. The functional is GGA-PBE.

```
ZrSb2
1.0
-3.7493 -0.6373 1.0115
0.9952 -9.7190 -2.4348
4.3381 -3.0955 14.1291
Zr Sb
8 16
Direct
0.0000 0.8314 0.5065
0.5000 0.6686 0.0065
0.0000 0.0214 0.7491
0.0000 0.1686 0.4935
0.5000 0.5214 0.7509
0.5000 0.3314 0.9935
0.0000 0.9786 0.2509
0.5000 0.4786 0.2491
0.5000 0.2305 0.8016
0.5000 0.9884 0.3971
0.5000 0.0116 0.6029
0.5000 0.8400 0.8433
0.5000 0.6168 0.5580
0.5000 0.7695 0.1984
0.5000 0.1600 0.1567
0.5000 0.3832 0.4420
0.0000 0.3400 0.6567
0.0000 0.1168 0.9420
0.0000 0.6600 0.3433
0.0000 0.7305 0.6984
0.0000 0.8832 0.0580
0.0000 0.2695 0.3016
0.0000 0.5116 0.8971
0.0000 0.4884 0.1029
```

Results
- calculated total energy (Ha/atom) = -0.226
- magnetic moment (μB/f.u.) = 0.0
- uncorrected formation energy (eV/atom) = -0.5609

=====

Entry 8:
This record from Alexandria via LeMat-Bulk describes a relaxed structure of ZrSb3. The functional is GGA-PBE.

```
ZrSb3
1.0
1.8465 1.0425 -5.8066
-5.8035 -1.8938 -0.9726
-1.7171 5.0746 0.3650
Sb Zr
6 2
Direct
0.1010 0.1010 0.7500
0.8226 0.4175 0.2500
0.1774 0.5825 0.7500
0.8990 0.8990 0.2500
0.4175 0.8226 0.2500
0.5825 0.1774 0.7500
0.3083 0.3083 0.2500
0.6917 0.6917 0.7500
```

Results
- calculated total energy (Ha/atom) = -0.199
- magnetic moment (μB/f.u.) = 0.0
- uncorrected formation energy (eV/atom) = -0.1775